# PBE-GGA Fe13Ge2, relaxed
# Volume in Å³/cell: 176.91
# Electronic total energy in eV/atom: -8.004
# Fermi-level density of states in states/eV/cell: 11.3
data_Fe13Ge2
_chemical_formula_sum 'Fe13 Ge2'
_symmetry_space_group_name_H-M 'P -1'
_symmetry_Int_Tables_number 2
_cell_length_a 4.728
_cell_length_b 6.398
_cell_length_c 6.450
_cell_angle_alpha 66.89
_cell_angle_beta 81.75
_cell_angle_gamma 82.23
loop_
_symmetry_equiv_pos_as_xyz
'x,y,z'
'-x,-y,-z'
loop_
_atom_site_label
_atom_site_type_symbol
_atom_site_fract_x
_atom_site_fract_y
_atom_site_fract_z
Fe1 Fe 0.000 0.000 0.000
Fe2 Fe 0.135 0.804 0.465
Fe3 Fe 0.198 0.202 0.201
Fe4 Fe 0.276 0.606 0.928
Fe5 Fe 0.333 0.003 0.665
Fe6 Fe 0.405 0.398 0.399
Fe7 Fe 0.458 0.804 0.130
Ge1 Ge 0.071 0.397 0.744

=====

# PBE-GGA FeGe, relaxed
# Volume in Å³/cell: 101.25
# Electronic total energy in eV/atom: -6.639
# Fermi-level density of states in states/eV/cell: 7.1
data_FeGe
_chemical_formula_sum 'Fe4 Ge4'
_symmetry_space_group_name_H-M 'P 21 3'
_symmetry_Int_Tables_number 198
_symmetry_space_group_name_Hall 'P 2ac 2ab 3'
_cell_length_a 4.661
_cell_length_b 4.661
_cell_length_c 4.661
_cell_angle_alpha 90.00
_cell_angle_beta 90.00
_cell_angle_gamma 90.00
loop_
_atom_site_label
_atom_site_type_symbol
_atom_site_fract_x
_atom_site_fract_y
_atom_site_fract_z
Fe1 Fe 0.135 0.135 0.135
Ge1 Ge 0.158 0.342 0.658

=====

# PBE-GGA Fe4Ge2H, relaxed
# Volume in Å³/cell: 164.84
# Electronic total energy in eV/atom: -6.507
# Fermi-level density of states in states/eV/cell: 9.2
data_Fe4Ge2H
_chemical_formula_sum 'Fe8 Ge4 H2'
_symmetry_space_group_name_H-M 'I 4/m m m'
_symmetry_Int_Tables_number 139
_symmetry_space_group_name_Hall '-I 4 2'
_cell_length_a 3.621
_cell_length_b 3.621
_cell_length_c 12.574
_cell_angle_alpha 90.00
_cell_angle_beta 90.00
_cell_angle_gamma 90.00
loop_
_atom_site_label
_atom_site_type_symbol
_atom_site_fract_x
_atom_site_fract_y
_atom_site_fract_z
Fe1 Fe 0.000 0.000 0.142
Fe2 Fe 0.000 0.500 0.000
Ge1 Ge 0.000 0.000 0.339
H1 H 0.000 0.000 0.500

=====

# PBE-GGA FeGe2H2, relaxed
# Energy above the lowest structure with this stoichiometry in eV per atom: 0.000
# Volume in Å³/cell: 100.63
# Fermi-level density of states in states/eV/cell: 0.9
data_FeGe2H2
_chemical_formula_sum 'Fe2 Ge4 H4'
_symmetry_space_group_name_H-M 'I 4/m m m'
_symmetry_Int_Tables_number 139
_symmetry_space_group_name_Hall '-I 4 2'
_cell_length_a 4.440
_cell_length_b 4.440
_cell_length_c 5.105
_cell_angle_alpha 90.00
_cell_angle_beta 90.00
_cell_angle_gamma 90.00
loop_
_atom_site_label
_atom_site_type_symbol
_atom_site_fract_x
_atom_site_fract_y
_atom_site_fract_z
Fe1 Fe 0.000 0.000 0.000
Ge1 Ge 0.000 0.500 0.250
H1 H 0.000 0.000 0.307

=====

# PBE-GGA FeGeH3, relaxed
# Energy above the lowest structure with this stoichiometry in eV per atom: 0.000
# Volume in Å³/cell: 36.93
# Fermi-level density of states in states/eV/cell: 2.3
data_FeGeH3
_chemical_formula_sum 'Fe1 Ge1 H3'
_symmetry_space_group_name_H-M 'P m -3 m'
_symmetry_Int_Tables_number 221
_symmetry_space_group_name_Hall '-P 4 2 3'
_cell_length_a 3.330
_cell_length_b 3.330
_cell_length_c 3.330
_cell_angle_alpha 90.00
_cell_angle_beta 90.00
_cell_angle_gamma 90.00
loop_
_atom_site_label
_atom_site_type_symbol
_atom_site_fract_x
_atom_site_fract_y
_atom_site_fract_z
Fe1 Fe 0.000 0.000 0.000
Ge1 Ge 0.500 0.500 0.500
H1 H 0.000 0.000 0.500

=====

# PBE-GGA Fe2Ge2H, relaxed
# Energy above the lowest structure with this stoichiometry in eV per atom: 0.000
# Volume in Å³/cell: 112.26
# Fermi-level density of states in states/eV/cell: 5.3
data_Fe2Ge2H
_chemical_formula_sum 'Fe4 Ge4 H2'
_symmetry_space_group_name_H-M 'P 4/m b m'
_symmetry_Int_Tables_number 127
_symmetry_space_group_name_Hall '-P 4 2ab'
_cell_length_a 5.474
_cell_length_b 5.474
_cell_length_c 3.746
_cell_angle_alpha 90.00
_cell_angle_beta 90.00
_cell_angle_gamma 90.00
loop_
_atom_site_label
_atom_site_type_symbol
_atom_site_fract_x
_atom_site_fract_y
_atom_site_fract_z
Fe1 Fe 0.164 0.336 0.000
Ge1 Ge 0.161 0.661 0.500
H1 H 0.000 0.000 0.000

=====

# PBE-GGA Fe2GeH, relaxed
# Volume in Å³/cell: 119.22
# Electronic total energy in eV/atom: -6.164
# Fermi-level density of states in states/eV/cell: 9.3
data_Fe2GeH
_chemical_formula_sum 'Fe6 Ge3 H3'
_symmetry_space_group_name_H-M 'R -3 m'
_symmetry_Int_Tables_number 166
_symmetry_space_group_name_Hall '-R 3 2"'
_cell_length_a 2.7648
_cell_length_b 2.7648
_cell_length_c 18.0086
_cell_angle_alpha 90.00
_cell_angle_beta 90.00
_cell_angle_gamma 120.00
loop_
_atom_site_label
_atom_site_type_symbol
_atom_site_fract_x
_atom_site_fract_y
_atom_site_fract_z
Fe1 Fe 0.0000 0.0000 0.2227
Ge1 Ge 0.0000 0.0000 0.0000
H1 H 0.0000 0.0000 0.5000

=====

# PBE-GGA FeGe2H2, relaxed
# Energy above the lowest structure with this stoichiometry in eV per atom: 0.337
# Volume in Å³/cell: 98.33
# Fermi-level density of states in states/eV/cell: 2.7
data_FeGe2H2
_chemical_formula_sum 'Fe2 Ge4 H4'
_symmetry_space_group_name_H-M 'P 4/m b m'
_symmetry_Int_Tables_number 127
_symmetry_space_group_name_Hall '-P 4 2ab'
_cell_length_a 5.597
_cell_length_b 5.597
_cell_length_c 3.139
_cell_angle_alpha 90.00
_cell_angle_beta 90.00
_cell_angle_gamma 90.00
loop_
_atom_site_label
_atom_site_type_symbol
_atom_site_fract_x
_atom_site_fract_y
_atom_site_fract_z
Fe1 Fe 0.000 0.000 0.000
Ge1 Ge 0.160 0.340 0.500
H1 H 0.204 0.704 0.000